Computed, not measured: a relaxed structure of ScFeCo2C at the PBE level of DFT.

Lattice parameters (Å, degrees): 4.146 4.766 4.146 90.00 90.00 90.00
Site moments in Bohr magnetons follow the coordinates.
Element x y z (fractional)
Sc1 0.000 0.500 0.000  -0.16
C1 0.500 0.500 0.500  0.20
Co1 0.000 0.000 0.500  1.97
Co2 0.500 0.000 0.000  1.31
Fe1 0.000 0.000 0.000  1.71

Results
- Calculated volume: 16.384 A^3/atom
- ΔH_f (0 K): 1.71 eV per atom
- Distance to the lowest polymorph of the same formula: 9.844 eV per formula unit
- Calculated total energy: -29.7 eV/cell
- D(E_F): 5.71 states/eV per cell
- Total moment: 5.12 μB per formula unit